A plane-wave DFT calculation with PBE-GGA was carried out for K5HgTeO2 after structural relaxation.

Results
For the uncorrected formation energy, the calculation gives -954 meV/atom. For the calculated volume, the calculation gives 290.2 Å³ per cell.

Cell and atoms, written as CIF:
```
data_K5HgTeO2
_space_group_name_H-M_alt 'P 4/m m m'
_space_group_IT_number 123
_space_group_name_Hall '-P 4 2'
_cell_length_a 5.489
_cell_length_b 5.489
_cell_length_c 9.631
_cell_angle_alpha 90.00
_cell_angle_beta 90.00
_cell_angle_gamma 90.00
loop_
_atom_site_label
_atom_site_fract_x
_atom_site_fract_y
_atom_site_fract_z
K1 0.000 0.000 0.000
K2 0.000 0.500 0.256
Hg1 0.000 0.000 0.500
Te1 0.500 0.500 0.000
O1 0.000 0.000 0.284
```